[1]
Density functional theory data (meta-GGA SCAN) for LaRu2Cl at its PBEsol-relaxed geometry.

Properties
Its relative energy among the computed polymorphs is 637.7 meV per atom.

Cell: 7.8497 7.8497 7.8497 Å, 24.31 24.31 24.31°
Closest atoms and distances in Å follow each position.
Fractional positions:
La: 0.0000 0.0000 0.0000  6 Ru 2.67
Ru: 0.2515 0.2515 0.2515  3 La 2.67, 3 Cl 2.72
Ru: 0.7485 0.7485 0.7485  3 La 2.67, 3 Cl 2.72
Cl: 0.5000 0.5000 0.5000  6 Ru 2.72



[2]
Density functional theory data (meta-GGA SCAN) for La2TcRuCl at its PBEsol-relaxed geometry.

Cell: 5.3105 5.3105 4.2538 Å, 90.00 90.00 90.00°
Closest atoms and distances in Å follow each position.
Fractional positions:
La: 0.0000 0.5000 0.0000  2 Cl 2.66
La: 0.5000 0.0000 0.0000  2 Cl 2.66
Tc: 0.0000 0.0000 0.5000  8 La 3.40, 4 Ru 3.76
Ru: 0.5000 0.5000 0.5000  2 Cl 2.13
Cl: 0.5000 0.5000 0.0000  2 Ru 2.13



[3]
Density functional theory data (meta-GGA SCAN) for La2S2Cl at its PBEsol-relaxed geometry.

Cell: 7.8336 7.8336 3.7734 Å, 90.00 90.00 90.00°
Closest atoms and distances in Å follow each position.
Fractional positions:
La: 0.1588 0.3412 0.0000  6 S 2.91-3.02, 2 Cl 2.95
La: 0.3412 0.8412 0.0000  6 S 2.91-3.02, 2 Cl 2.95
La: 0.6588 0.1588 0.0000  6 S 2.91-3.02, 2 Cl 2.95
La: 0.8412 0.6588 0.0000  6 S 2.91-3.02, 2 Cl 2.95
S: 0.1412 0.6412 0.5000  6 La 2.91-3.02, 1 S 3.13
S: 0.3588 0.1412 0.5000  6 La 2.91-3.02, 1 S 3.13
S: 0.6412 0.8588 0.5000  6 La 2.91-3.02, 1 S 3.13
S: 0.8588 0.3588 0.5000  6 La 2.91-3.02, 1 S 3.13
Cl: 0.0000 0.0000 0.0000  4 La 2.95
Cl: 0.5000 0.5000 0.0000  4 La 2.95



Computed formation energy from raw total energies (eV/atom) in order:
0.6358, 0.2668, -2.4656
Computed E (eV/atom) in order:
-29.55, -32.55, -25.15
Computed density (g cm⁻³) in order:
8.676, 7.092, 5.413